Below is a relaxed Zn2SnWO6 crystal, with properties calculated at the PBE with a Hubbard U level. Values from VASP.

Geometry as Quantum ESPRESSO input:
```
&SYSTEM
  ibrav = 0, nat = 20, ntyp = 4
/
ATOMIC_SPECIES
O 16.00 O.upf
Sn 118.71 Sn.upf
Zn 65.41 Zn.upf
W 183.84 W.upf
CELL_PARAMETERS angstrom
-2.7901 4.2996 1.9376
-1.8390 -3.0914 4.2118
4.9811 -0.5488 8.3907
ATOMIC_POSITIONS angstrom
O -0.8630 1.2233 6.8323
O 1.3767 -0.4485 4.9511
O 1.3903 -1.4321 10.8580
O -0.4507 -2.1588 6.2116
O 1.3277 1.4110 11.2358
O -1.0383 2.0915 3.6820
O 1.2150 -0.5639 7.7077
O -0.9757 -0.7516 3.3042
O -1.0247 1.1079 9.5889
O 0.8027 2.8182 8.3284
O 3.1828 0.3318 9.6218
O -2.8308 0.3276 4.9183
Sn 0.0000 0.0000 0.0000
Sn 1.0955 1.8754 5.1641
Zn 2.1770 -2.8085 9.5815
Zn 1.9834 1.1626 8.2386
Zn -1.8250 3.4679 4.9585
Zn -1.6314 -0.5032 6.3014
W -2.3146 0.6041 3.0747
W 1.5710 -1.8201 6.3012
```

Computed properties:
E above lowest polymorph, eV per atom: 0.082
Space-group type: No. 14